Compound: PrEuTmLu
Source: Alexandria
Functional: PBE
Structure: relaxed

abc: 8.1383 8.1383 8.1383
angles: 90.00 90.00 90.00
Space group F-43m (No. 216)
Unique sites:
Pr 0.0000 0.0000 0.0000 x4
Eu 0.2500 0.2500 0.7500 x4
Tm 0.0000 0.0000 0.5000 x4
Lu 0.2500 0.2500 0.2500 x4

Summary:
Formation enthalpy at 0 K, eV per atom: 0.150
VASP energy, eV/atom: -5.862